Entry 1:
Density functional theory data (PBE) for SrHg2Au after structural relaxation.

Properties
For the energy of formation from the pure elements, the calculation gives -0.341 eV/atom. The density of states at the Fermi level comes out at 4.56 states/eV/cell. The size of the total moment comes out at 0.00 μB per formula unit. Its space-group type is No. 122.

Cell lengths 11.576, 11.576, 11.576 Å; angles 157.07, 157.07, 32.66 degrees
Element x y z (fractional)
Sr  0.000  0.000  0.000
Sr  0.750  0.250  0.500
Hg  0.161  0.625  0.036
Hg  0.375  0.411  0.536
Hg  0.589  0.125  0.964
Hg  0.875  0.839  0.464
Au  0.250  0.750  0.500
Au  0.500  0.500  0.000

---

Entry 2:
Density functional theory data (PBE) for SrHg2Au after structural relaxation.

Properties
For the energy of formation from the pure elements, the calculation gives -0.420 eV/atom. The density of states at the Fermi level comes out at 1.58 states/eV/cell. The size of the total moment comes out at 0.00 μB per formula unit. Its space-group type is No. 47.

Cell lengths 4.602, 4.637, 5.053 Å; angles 90.00, 90.00, 90.00 degrees
Element x y z (fractional)
Sr  0.000  0.000  0.000
Hg  0.000  0.500  0.500
Hg  0.500  0.000  0.500
Au  0.500  0.500  0.000